1.
First-principles (PBE) data for a relaxed structure of NaPmSO, as listed in the Open Quantum Materials Database.

Results
Symmetry = No. 4

Unit cell a=5.677 b=5.671 c=10.669 alpha=90.00 beta=104.93 gamma=90.00
Fractional positions:
Na (0.044, 0.000, 0.092)
Na (0.455, 0.999, 0.908)
Na (0.545, 0.499, 0.092)
Na (0.956, 0.500, 0.908)
Pm (0.056, 0.260, 0.613)
Pm (0.444, 0.260, 0.387)
Pm (0.556, 0.760, 0.613)
Pm (0.944, 0.760, 0.387)
S (0.085, 0.500, 0.179)
S (0.416, 0.499, 0.821)
S (0.584, 0.999, 0.179)
S (0.915, 0.000, 0.821)
O (0.250, 0.011, 0.500)
O (0.250, 0.512, 0.500)
O (0.750, 0.012, 0.500)
O (0.750, 0.511, 0.500)

---

2.
First-principles (PBE) data for a relaxed structure of NdErAl4Ni2, as listed in the Open Quantum Materials Database.

Results
Symmetry = No. 38

Unit cell a=6.910 b=5.579 c=5.579 alpha=42.56 beta=90.00 gamma=90.00
Fractional positions:
Nd (0.000, 0.000, 0.000)
Er (0.500, 0.883, 0.883)
Al (0.199, 0.281, 0.281)
Al (0.308, 0.604, 0.604)
Al (0.692, 0.604, 0.604)
Al (0.801, 0.281, 0.281)
Ni (0.000, 0.722, 0.722)
Ni (0.500, 0.155, 0.155)

---

3.
First-principles (PBE) data for a relaxed structure of ZrCo2Sn, as listed in the Open Quantum Materials Database.

Results
Symmetry = No. 194

Unit cell a=4.736 b=4.736 c=7.389 alpha=90.00 beta=90.00 gamma=120.00
Fractional positions:
Zr (0.333, 0.667, 0.250)
Zr (0.667, 0.333, 0.750)
Co (0.333, 0.667, 0.594)
Co (0.333, 0.667, 0.906)
Co (0.667, 0.333, 0.094)
Co (0.667, 0.333, 0.406)
Sn (0.000, 0.000, 0.250)
Sn (0.000, 0.000, 0.750)

---

4.
First-principles (PBE) data for a relaxed structure of CdInPd2, as listed in the Open Quantum Materials Database.

Results
Symmetry = No. 216

Unit cell a=4.652 b=4.652 c=4.652 alpha=60.00 beta=60.00 gamma=60.00
Fractional positions:
Cd (0.000, 0.000, 0.000)
In (0.750, 0.750, 0.750)
Pd (0.250, 0.250, 0.250)
Pd (0.500, 0.500, 0.500)

---

5.
First-principles (PBE) data for a relaxed structure of TlGeIr, as listed in the Open Quantum Materials Database.

Results
Symmetry = No. 216

Unit cell a=4.470 b=4.470 c=4.470 alpha=60.00 beta=60.00 gamma=60.00
Fractional positions:
Tl (0.000, 0.000, 0.000)
Ge (0.500, 0.500, 0.500)
Ir (0.750, 0.750, 0.750)

---

6.
First-principles (PBE) data for a relaxed structure of Sm2DyCo2B2P3, as listed in the Open Quantum Materials Database.

Results
Symmetry = No. 139

Unit cell a=11.275 b=11.275 c=11.275 alpha=160.01 beta=160.01 gamma=28.42
Fractional positions:
Sm (0.138, 0.138, 0.000)
Sm (0.862, 0.862, 0.000)
Dy (0.500, 0.500, 0.000)
Co (0.250, 0.750, 0.500)
Co (0.750, 0.250, 0.500)
B (0.285, 0.285, 0.000)
B (0.715, 0.715, 0.000)
P (0.000, 0.000, 0.000)
P (0.375, 0.375, 0.000)
P (0.625, 0.625, 0.000)

---

7.
First-principles (PBE) data for a relaxed structure of Zr4CdNiN2, as listed in the Open Quantum Materials Database.

Results
Symmetry = No. 187

Unit cell a=3.277 b=3.277 c=14.014 alpha=90.00 beta=90.00 gamma=120.00
Fractional positions:
Zr (0.000, 0.000, 0.139)
Zr (0.000, 0.000, 0.861)
Zr (0.667, 0.333, 0.322)
Zr (0.667, 0.333, 0.678)
Cd (0.000, 0.000, 0.500)
Ni (0.667, 0.333, 0.000)
N (0.333, 0.667, 0.233)
N (0.333, 0.667, 0.767)

---

8.
First-principles (PBE) data for a relaxed structure of YFeCoPb, as listed in the Open Quantum Materials Database.

Results
Symmetry = No. 216

Unit cell a=4.763 b=4.763 c=4.763 alpha=60.00 beta=60.00 gamma=60.00
Fractional positions:
Y (0.000, 0.000, 0.000)
Fe (0.750, 0.750, 0.750)
Co (0.500, 0.500, 0.500)
Pb (0.250, 0.250, 0.250)

---

9.
First-principles (PBE) data for a relaxed structure of Tm2ZrN3, as listed in the Open Quantum Materials Database.

Results
Symmetry = No. 164

Unit cell a=3.326 b=3.326 c=8.197 alpha=90.00 beta=90.00 gamma=120.00
Fractional positions:
Tm (0.333, 0.667, 0.332)
Tm (0.667, 0.333, 0.668)
Zr (0.000, 0.000, 0.000)
N (0.000, 0.000, 0.500)
N (0.333, 0.667, 0.842)
N (0.667, 0.333, 0.158)

---

10.
First-principles (PBE) data for a relaxed structure of Y3Al3SiSnIr, as listed in the Open Quantum Materials Database.

Results
Symmetry = No. 174

Unit cell a=7.088 b=7.088 c=4.277 alpha=90.00 beta=90.00 gamma=120.00
Fractional positions:
Y (0.012, 0.415, 0.000)
Y (0.403, 0.988, 0.000)
Y (0.585, 0.597, 0.000)
Al (0.010, 0.779, 0.500)
Al (0.221, 0.231, 0.500)
Al (0.769, 0.990, 0.500)
Si (0.333, 0.667, 0.500)
Sn (0.667, 0.333, 0.500)
Ir (0.000, 0.000, 0.000)

---

11.
First-principles (PBE) data for a relaxed structure of Gd2ZnIrO6, as listed in the Open Quantum Materials Database.

Results
Symmetry = No. 14

Unit cell a=5.316 b=5.769 c=9.278 alpha=90.00 beta=124.55 gamma=90.00
Fractional positions:
Gd (0.224, 0.080, 0.251)
Gd (0.224, 0.420, 0.751)
Gd (0.776, 0.580, 0.249)
Gd (0.776, 0.920, 0.749)
Zn (0.500, 0.000, 0.000)
Zn (0.500, 0.500, 0.500)
Ir (0.000, 0.000, 0.500)
Ir (0.000, 0.500, 0.000)
O (0.116, 0.197, 0.939)
O (0.116, 0.303, 0.439)
O (0.255, 0.691, 0.942)
O (0.255, 0.809, 0.442)
O (0.370, 0.043, 0.747)
O (0.370, 0.457, 0.247)
O (0.630, 0.543, 0.753)
O (0.630, 0.957, 0.253)
O (0.745, 0.191, 0.558)
O (0.745, 0.309, 0.058)
O (0.884, 0.697, 0.561)
O (0.884, 0.803, 0.061)

---

12.
First-principles (PBE) data for a relaxed structure of CdTcAsO, as listed in the Open Quantum Materials Database.

Results
Symmetry = No. 129

Unit cell a=3.964 b=3.964 c=8.620 alpha=90.00 beta=90.00 gamma=90.00
Fractional positions:
Cd (0.250, 0.750, 0.000)
Cd (0.750, 0.250, 0.000)
Tc (0.250, 0.250, 0.402)
Tc (0.750, 0.750, 0.598)
As (0.250, 0.250, 0.762)
As (0.750, 0.750, 0.238)
O (0.250, 0.750, 0.500)
O (0.750, 0.250, 0.500)

---

13.
First-principles (PBE) data for a relaxed structure of Ho3Co2B2C3, as listed in the Open Quantum Materials Database.

Results
Symmetry = No. 139

Unit cell a=10.532 b=10.532 c=10.532 alpha=160.72 beta=160.72 gamma=27.39
Fractional positions:
Ho (0.000, 0.000, 0.000)
Ho (0.376, 0.376, 0.000)
Ho (0.624, 0.624, 0.000)
Co (0.250, 0.750, 0.500)
Co (0.750, 0.250, 0.500)
B (0.194, 0.194, 0.000)
B (0.806, 0.806, 0.000)
C (0.121, 0.121, 0.000)
C (0.500, 0.500, 0.000)
C (0.879, 0.879, 0.000)

---

14.
First-principles (PBE) data for a relaxed structure of Nb2GeOs, as listed in the Open Quantum Materials Database.

Results
Symmetry = No. 216

Unit cell a=4.508 b=4.508 c=4.508 alpha=60.00 beta=60.00 gamma=60.00
Fractional positions:
Nb (0.000, 0.000, 0.000)
Nb (0.250, 0.250, 0.250)
Ge (0.500, 0.500, 0.500)
Os (0.750, 0.750, 0.750)

---

15.
First-principles (PBE) data for a relaxed structure of Pr2Sn7Pd4, as listed in the Open Quantum Materials Database.

Results
Symmetry = No. 57

Unit cell a=30.471 b=6.350 c=6.162 alpha=90.00 beta=90.00 gamma=90.00
Fractional positions:
Pr (0.092, 0.015, 0.250)
Pr (0.092, 0.485, 0.750)
Pr (0.365, 0.524, 0.250)
Pr (0.365, 0.976, 0.750)
Pr (0.635, 0.024, 0.250)
Pr (0.635, 0.476, 0.750)
Pr (0.908, 0.515, 0.250)
Pr (0.908, 0.985, 0.750)
Sn (0.002, 0.250, 0.000)
Sn (0.002, 0.250, 0.500)
Sn (0.140, 0.521, 0.250)
Sn (0.140, 0.979, 0.750)
Sn (0.201, 0.607, 0.750)
Sn (0.201, 0.893, 0.250)
Sn (0.255, 0.099, 0.750)
Sn (0.255, 0.401, 0.250)
Sn (0.317, 0.033, 0.250)
Sn (0.317, 0.467, 0.750)
Sn (0.412, 0.033, 0.250)
Sn (0.412, 0.467, 0.750)
Sn (0.474, 0.100, 0.750)
Sn (0.474, 0.400, 0.250)
Sn (0.526, 0.600, 0.750)
Sn (0.526, 0.900, 0.250)
Sn (0.588, 0.533, 0.250)
Sn (0.588, 0.967, 0.750)
Sn (0.683, 0.533, 0.250)
Sn (0.683, 0.967, 0.750)
Sn (0.745, 0.599, 0.750)
Sn (0.745, 0.901, 0.250)
Sn (0.799, 0.107, 0.750)
Sn (0.799, 0.393, 0.250)
Sn (0.860, 0.021, 0.250)
Sn (0.860, 0.479, 0.750)
Sn (0.998, 0.750, 0.000)
Sn (0.998, 0.750, 0.500)
Pd (0.053, 0.514, 0.250)
Pd (0.053, 0.986, 0.750)
Pd (0.186, 0.250, 0.000)
Pd (0.186, 0.250, 0.500)
Pd (0.273, 0.750, 0.000)
Pd (0.273, 0.750, 0.500)
Pd (0.456, 0.750, 0.000)
Pd (0.456, 0.750, 0.500)
Pd (0.544, 0.250, 0.000)
Pd (0.544, 0.250, 0.500)
Pd (0.727, 0.250, 0.000)
Pd (0.727, 0.250, 0.500)
Pd (0.814, 0.750, 0.000)
Pd (0.814, 0.750, 0.500)
Pd (0.947, 0.014, 0.250)
Pd (0.947, 0.486, 0.750)

---

16.
First-principles (PBE) data for a relaxed structure of HoAgS2, as listed in the Open Quantum Materials Database.

Results
Symmetry = No. 156

Unit cell a=4.038 b=4.038 c=6.605 alpha=90.00 beta=90.00 gamma=120.00
Fractional positions:
Ho (0.000, 0.000, 0.000)
Ag (0.333, 0.667, 0.582)
S (0.333, 0.667, 0.206)
S (0.667, 0.333, 0.767)

---

17.
First-principles (PBE) data for a relaxed structure of NdZrPa, as listed in the Open Quantum Materials Database.

Results
Symmetry = No. 216
Calculated formation energy = 324 kJ/mol of formula units

Unit cell a=5.089 b=5.089 c=5.089 alpha=60.00 beta=60.00 gamma=60.00
Fractional positions:
Nd (0.000, 0.000, 0.000)
Zr (0.500, 0.500, 0.500)
Pa (0.250, 0.250, 0.250)

---

18.
First-principles (PBE) data for a relaxed structure of MgCuSbPt, as listed in the Open Quantum Materials Database.

Results
Symmetry = No. 216

Unit cell a=4.607 b=4.607 c=4.607 alpha=60.00 beta=60.00 gamma=60.00
Fractional positions:
Mg (0.000, 0.000, 0.000)
Cu (0.750, 0.750, 0.750)
Sb (0.500, 0.500, 0.500)
Pt (0.250, 0.250, 0.250)

---

19.
First-principles (PBE) data for a relaxed structure of Cu4Ag, as listed in the Open Quantum Materials Database.

Results
Symmetry = No. 12
Calculated formation energy = 33 kJ/mol of formula units

Unit cell a=4.566 b=4.566 c=11.325 alpha=100.05 beta=100.05 gamma=34.30
Fractional positions:
Cu (0.000, 0.000, 0.000)
Cu (0.093, 0.093, 0.717)
Cu (0.303, 0.303, 0.094)
Cu (0.398, 0.398, 0.817)
Cu (0.500, 0.500, 0.500)
Cu (0.602, 0.602, 0.183)
Cu (0.697, 0.697, 0.906)
Cu (0.907, 0.907, 0.283)
Ag (0.202, 0.202, 0.388)
Ag (0.798, 0.798, 0.612)

---

20.
First-principles (PBE) data for a relaxed structure of ErNi8P2, as listed in the Open Quantum Materials Database.

Results
Symmetry = No. 12

Unit cell a=5.665 b=5.665 c=8.507 alpha=124.71 beta=124.71 gamma=37.76
Fractional positions:
Er (0.000, 0.000, 0.000)
Ni (0.038, 0.038, 0.386)
Ni (0.241, 0.241, 0.885)
Ni (0.318, 0.318, 0.648)
Ni (0.338, 0.338, 0.368)
Ni (0.662, 0.662, 0.632)
Ni (0.682, 0.682, 0.352)
Ni (0.759, 0.759, 0.115)
Ni (0.962, 0.962, 0.614)
P (0.429, 0.429, 0.199)
P (0.571, 0.571, 0.801)

---

21.
First-principles (PBE) data for a relaxed structure of SrLiMoIr, as listed in the Open Quantum Materials Database.

Results
Symmetry = No. 216

Unit cell a=4.806 b=4.806 c=4.806 alpha=60.00 beta=60.00 gamma=60.00
Fractional positions:
Sr (0.000, 0.000, 0.000)
Li (0.500, 0.500, 0.500)
Mo (0.250, 0.250, 0.250)
Ir (0.750, 0.750, 0.750)

---

22.
First-principles (PBE) data for a relaxed structure of SnBiIr, as listed in the Open Quantum Materials Database.

Results
Symmetry = No. 216

Unit cell a=4.664 b=4.664 c=4.664 alpha=60.00 beta=60.00 gamma=60.00
Fractional positions:
Sn (0.000, 0.000, 0.000)
Bi (0.500, 0.500, 0.500)
Ir (0.750, 0.750, 0.750)

---

23.
First-principles (PBE) data for a relaxed structure of Ta3SiB4, as listed in the Open Quantum Materials Database.

Results
Symmetry = No. 47

Unit cell a=3.119 b=3.290 c=8.368 alpha=90.00 beta=90.00 gamma=90.00
Fractional positions:
Ta (0.000, 0.000, 0.000)
Ta (0.500, 0.000, 0.318)
Ta (0.500, 0.000, 0.682)
Si (0.000, 0.500, 0.500)
B (0.000, 0.500, 0.218)
B (0.000, 0.500, 0.782)
B (0.500, 0.500, 0.110)
B (0.500, 0.500, 0.890)

---

| no. | uncorrected energy (eV for the cell shown) |
| --- | --- |
| 1 | -96.5 |
| 2 | -40.3 |
| 3 | -50.7 |
| 4 | -15.2 |
| 5 | -15.2 |
| 6 | -66.5 |
| 7 | -64.5 |
| 8 | -24.4 |
| 9 | -53.3 |
| 10 | -56.2 |
| 11 | -143.0 |
| 12 | -40.4 |
| 13 | -72.3 |
| 14 | -36.0 |
| 15 | -266.9 |
| 16 | -21.0 |
| 17 | -19.4 |
| 18 | -16.6 |
| 19 | -34.7 |
| 20 | -65.9 |
| 21 | -19.5 |
| 22 | -17.1 |
| 23 | -72.0 |